28
Lattice="6.789 -4.194 -0.516 -4.445 -5.046 4.328 -3.187 1.982 -7.061" Properties=species:S:1:pos:R:3 comment="Ge2PbF11 PBE-GGA relaxed" spacegroup=Ibam raw_formation_energy_ev_per_atom=-2.171 total_magnetization_mub_per_cell=0.00 pbc="T T T"
Ge 0.531 -5.462 0.260
Ge -1.375 -1.796 -3.509
Ge -2.653 -4.911 3.553
Ge 1.810 -2.347 -6.802
Pb 2.387 -3.416 -2.836
Pb -3.230 -3.842 -0.414
F -0.340 -6.727 1.283
F -0.504 -0.531 -4.532
F 0.099 -2.907 -3.552
F 1.045 -5.382 -3.419
F -0.943 -4.351 0.303
F -1.888 -1.876 0.170
F 4.298 -3.694 -1.327
F -5.141 -3.564 -1.922
F 1.172 -4.620 1.906
F 0.000 0.000 0.000
F -0.037 -6.208 -1.200
F -0.807 -1.050 -2.049
F -1.064 -4.791 2.865
F 0.221 -2.466 -6.114
F 2.025 -6.545 0.267
F -2.869 -0.713 -3.517
F -2.267 -3.087 -2.537
F -3.409 -4.281 1.991
F 1.423 -4.171 -0.712
F 2.565 -2.977 -5.240
F -2.482 -5.648 -1.892
F 1.638 -1.610 -1.357